Density functional theory data (PBE-GGA) for a geometry-optimized ZrAl2Au2 structure.

Unit cell a=7.689 b=7.689 c=2.990 alpha=90.00 beta=90.00 gamma=90.00
Fractional coordinates of all 10 atoms:
Zr (0.000, 0.000, 0.000)
Al (0.135, 0.365, 0.000)
Au (0.662, 0.838, 0.500)
Zr (0.500, 0.500, 0.000)
Al (0.865, 0.635, 0.000)
Al (0.635, 0.135, 0.000)
Au (0.162, 0.662, 0.500)
Au (0.838, 0.338, 0.500)
Al (0.365, 0.865, 0.000)
Au (0.338, 0.162, 0.500)

Computed properties:
magnetic moment: 0.00 Bohr magnetons per cell
space-group type: P4/mbm
DFT formation energy: -384 meV/atom
E: -4.90 eV/atom